! K4Sn9 | the Alexandria database | PBE-GGA | optimized geometry; values from VASP
&SYSTEM
  ibrav = 0, nat = 52, ntyp = 2
/
ATOMIC_SPECIES
Sn 118.71 Sn.upf
K 39.10 K.upf
CELL_PARAMETERS angstrom
-0.991 -0.829 8.296
-5.009 -13.364 -1.934
14.858 -7.299 1.045
ATOMIC_POSITIONS crystal
Sn 0.432 0.827 0.968
K 0.029 0.387 0.642
Sn 0.568 0.254 0.355
Sn 0.108 0.329 0.431
Sn 0.821 0.391 0.299
Sn 0.261 0.647 0.024
Sn 0.752 0.075 0.408
K 0.940 0.508 0.116
K 0.932 0.837 0.948
Sn 0.879 0.708 0.743
Sn 0.379 0.292 0.757
K 0.971 0.613 0.358
K 0.060 0.492 0.884
Sn 0.748 0.075 0.908
Sn 0.400 0.122 0.879
K 0.529 0.613 0.858
Sn 0.239 0.647 0.524
Sn 0.322 0.818 0.255
Sn 0.739 0.353 0.976
Sn 0.932 0.173 0.532
Sn 0.892 0.671 0.569
Sn 0.432 0.746 0.645
K 0.432 0.163 0.552
Sn 0.321 0.609 0.201
Sn 0.121 0.292 0.257
Sn 0.568 0.173 0.032
K 0.072 0.073 0.739
Sn 0.900 0.878 0.621
K 0.560 0.508 0.616
Sn 0.761 0.353 0.476
Sn 0.392 0.329 0.931
K 0.428 0.073 0.239
K 0.568 0.837 0.448
Sn 0.252 0.925 0.092
Sn 0.248 0.925 0.592
Sn 0.822 0.182 0.245
Sn 0.621 0.708 0.243
Sn 0.100 0.122 0.379
K 0.471 0.387 0.142
Sn 0.068 0.746 0.145
K 0.572 0.927 0.761
Sn 0.679 0.391 0.799
K 0.440 0.492 0.384
Sn 0.608 0.671 0.069
K 0.068 0.163 0.052
K 0.928 0.927 0.261
Sn 0.068 0.827 0.468
Sn 0.932 0.254 0.855
Sn 0.600 0.878 0.121
Sn 0.678 0.182 0.745
Sn 0.179 0.609 0.701
Sn 0.178 0.818 0.755
! * total magnetic moment: 0.0000 μB per atom
! * energy of formation: -0.229 eV/atom
! * electronic total energy: -3.338 eV per atom